Density functional theory data (PBE) for an optimized crystal structure of Pr5Sm3Ho4.

Values from the calculation:
Space-group type: No. 12
Formation enthalpy at 0 K in meV/atom: 217
E in eV per atom: -4.48
Crystal system: monoclinic

a = 5.8999 Å, b = 5.7299 Å, c = 14.6654 Å
α = 84.19°, β = 78.40°, γ = 59.01°
Last column: nearest neighbours and their distance in Å.
Atoms (fractional coordinates):
Pr 0.6694 0.6615 0.9998  4 Pr 3.33-3.61, 1 Sm 3.61, 2 Ho 3.70
Pr 0.5000 0.5000 0.5000  2 Sm 2.95, 2 Ho 3.22
Pr 0.2022 0.3439 0.2517  4 Sm 3.34-3.65, 4 Ho 3.55-3.72, 1 Pr 3.61
Pr 0.7978 0.6561 0.7483  4 Sm 3.34-3.65, 4 Ho 3.55-3.72, 1 Pr 3.61
Pr 0.3306 0.3385 0.0002  4 Pr 3.33-3.61, 1 Sm 3.61, 2 Ho 3.70
Sm 0.4568 0.3372 0.7491  5 Pr 3.34-3.67, 4 Ho 3.57-3.73
Sm 0.0000 0.5000 0.5000  2 Pr 2.95, 2 Ho 3.25
Sm 0.5432 0.6628 0.2509  5 Pr 3.34-3.67, 4 Ho 3.57-3.73
Ho 0.0624 0.9984 0.8767  2 Ho 3.31-3.54, 2 Pr 3.70
Ho 0.1782 0.9974 0.6462  2 Pr 3.22-3.55, 2 Sm 3.25-3.57, 1 Ho 3.31
Ho 0.8218 0.0026 0.3538  2 Pr 3.22-3.55, 2 Sm 3.25-3.57, 1 Ho 3.31
Ho 0.9376 0.0016 0.1233  2 Ho 3.31-3.54, 2 Pr 3.70